Computed, not measured: a relaxed structure of Cs4Hg5Au2 at the PBE level of DFT.

- Space-group type: P2/m, No. 10
- D(E_F): 0.3855 states/eV per atom
- Total magnetic moment: 0.000 μB per atom
- ΔH_f (0 K): -281 meV/atom

Cell and atoms, written as CIF:
```
data_Cs4Hg5Au2
_space_group_name_H-M_alt 'P 1'
_space_group_IT_number 1
_cell_length_a 8.711
_cell_length_b 5.316
_cell_length_c 10.098
_cell_angle_alpha 90.00
_cell_angle_beta 91.65
_cell_angle_gamma 90.00
loop_
_space_group_symop_operation_xyz
'x,y,z'
loop_
_atom_site_label
_atom_site_type_symbol
_atom_site_fract_x
_atom_site_fract_y
_atom_site_fract_z
Cs1 Cs 0.226 0.000 0.144
Cs2 Cs 0.236 0.000 0.613
Cs3 Cs 0.764 0.000 0.387
Cs4 Cs 0.774 0.000 0.856
Hg1 Hg 0.104 0.500 0.874
Hg2 Hg 0.415 0.500 0.359
Hg3 Hg 0.500 0.500 0.000
Hg4 Hg 0.585 0.500 0.641
Hg5 Hg 0.896 0.500 0.126
Au1 Au 0.077 0.500 0.377
Au2 Au 0.923 0.500 0.623
```